(1)
The following is a PBE-GGA calculation of Li2AsOs after structural relaxation, from Alexandria via LeMat-Bulk.

Calculated values
Energy   -19.65 eV per cell
Distance to the lowest polymorph of the same formula   146 meV/atom
Crystal system   monoclinic
Formation energy   1 kJ/mol of atoms
Symmetry   P2/m (10)
Fermi-level density of states   1.23 states/eV per cell

abc: 2.853 4.364 4.789
angles: 90.00 105.36 90.00
Fractional coordinates of all 4 atoms:
Li1 0.064 0.000 0.242
Li2 0.936 0.000 0.758
As1 0.500 0.500 0.500
Os1 0.500 0.500 0.000

---

(2)
The following is a PBE-GGA calculation of LiAsOs after structural relaxation, from Alexandria via LeMat-Bulk.

Calculated values
Energy   -17.20 eV per cell
Crystal system   cubic
Formation energy   19 kJ/mol of atoms
Symmetry   F-43m (216)
Fermi-level density of states   1.82 states/eV per cell

abc: 4.079 4.079 4.079
angles: 60.00 60.00 60.00
Fractional coordinates of all 3 atoms:
Li1 0.000 0.000 0.000
As1 0.500 0.500 0.500
Os1 0.750 0.750 0.750

---

(3)
The following is a PBE-GGA calculation of Li2AsOs after structural relaxation, from Alexandria via LeMat-Bulk.

Calculated values
Energy   -20.21 eV per cell
Distance to the lowest polymorph of the same formula   7 meV/atom
Crystal system   tetragonal
Formation energy   -12 kJ/mol of atoms
Symmetry   P4mm (99)
Fermi-level density of states   1.16 states/eV per cell

abc: 3.160 3.160 5.715
angles: 90.00 90.00 90.00
Fractional coordinates of all 4 atoms:
Li1 0.000 0.000 0.000
Li2 0.500 0.500 0.254
As1 0.500 0.500 0.725
Os1 0.000 0.000 0.517

---

(4)
The following is a PBE-GGA calculation of LiAs2Os after structural relaxation, from Alexandria via LeMat-Bulk.

Calculated values
Energy   -22.74 eV per cell
Distance to the lowest polymorph of the same formula   53 meV/atom
Crystal system   monoclinic
Formation energy   -7 kJ/mol of atoms
Symmetry   P2/m (10)
Fermi-level density of states   2.32 states/eV per cell

abc: 3.027 3.022 7.041
angles: 90.00 91.19 90.00
Fractional coordinates of all 4 atoms:
Li1 0.000 0.000 0.000
As1 0.490 0.500 0.276
As2 0.510 0.500 0.724
Os1 0.000 0.000 0.500

---

(5)
The following is a PBE-GGA calculation of LiAs2Os after structural relaxation, from Alexandria via LeMat-Bulk.

Calculated values
Energy   -20.81 eV per cell
Distance to the lowest polymorph of the same formula   538 meV/atom
Crystal system   cubic
Formation energy   39 kJ/mol of atoms
Symmetry   F-43m (216)
Fermi-level density of states   2.84 states/eV per cell

abc: 4.403 4.403 4.403
angles: 60.00 60.00 60.00
Fractional coordinates of all 4 atoms:
Li1 0.000 0.000 0.000
As1 0.500 0.500 0.500
As2 0.750 0.750 0.750
Os1 0.250 0.250 0.250

---

(6)
The following is a PBE-GGA calculation of LiAs2Os after structural relaxation, from Alexandria via LeMat-Bulk.

Calculated values
Energy   -22.16 eV per cell
Distance to the lowest polymorph of the same formula   201 meV/atom
Crystal system   orthorhombic
Formation energy   7 kJ/mol of atoms
Symmetry   Pmm2 (25)
Fermi-level density of states   2.14 states/eV per cell

abc: 3.003 3.976 5.177
angles: 90.00 90.00 90.00
Fractional coordinates of all 4 atoms:
Li1 0.000 0.000 0.000
As1 0.000 0.000 0.481
As2 0.500 0.500 0.846
Os1 0.500 0.500 0.322

---

(7)
The following is a PBE-GGA calculation of LiAs2Os after structural relaxation, from Alexandria via LeMat-Bulk.

Calculated values
Energy   -22.68 eV per cell
Distance to the lowest polymorph of the same formula   70 meV/atom
Crystal system   trigonal
Formation energy   -6 kJ/mol of atoms
Symmetry   R-3m (166)
Fermi-level density of states   1.68 states/eV per cell

abc: 8.100 8.100 8.100
angles: 21.95 21.95 21.95
Fractional coordinates of all 4 atoms:
Li1 0.000 0.000 0.000
As1 0.244 0.244 0.244
As2 0.756 0.756 0.756
Os1 0.500 0.500 0.500

---

(8)
The following is a PBE-GGA calculation of Li2AsOs after structural relaxation, from Alexandria via LeMat-Bulk.

Calculated values
Energy   -36.98 eV per cell
Distance to the lowest polymorph of the same formula   436 meV/atom
Crystal system   tetragonal
Formation energy   29 kJ/mol of atoms
Symmetry   I-42d (122)
Fermi-level density of states   5.24 states/eV per cell

abc: 5.655 5.655 5.655
angles: 100.04 100.04 130.64
Fractional coordinates of all 8 atoms:
Li1 0.114 0.125 0.489
Li2 0.375 0.886 0.011
Li3 0.636 0.625 0.511
Li4 0.875 0.364 0.989
As1 0.000 0.000 0.000
As2 0.750 0.250 0.500
Os1 0.250 0.750 0.500
Os2 0.500 0.500 0.000

---

Question: Which value of Fermi-level density of states does entry 8 give?
Answer: 5.24 states/eV per cell

---

Question: Number 4 is which compound?
Answer: LiAs2Os

---

Copy entry 1 word for word.
The following is a PBE-GGA calculation of Li2AsOs after structural relaxation, from Alexandria via LeMat-Bulk.

Calculated values
Energy   -19.65 eV per cell
Distance to the lowest polymorph of the same formula   146 meV/atom
Crystal system   monoclinic
Formation energy   1 kJ/mol of atoms
Symmetry   P2/m (10)
Fermi-level density of states   1.23 states/eV per cell

abc: 2.853 4.364 4.789
angles: 90.00 105.36 90.00
Fractional coordinates of all 4 atoms:
Li1 0.064 0.000 0.242
Li2 0.936 0.000 0.758
As1 0.500 0.500 0.500
Os1 0.500 0.500 0.000

---

Question: Which value of formation energy does entry 8 give?
Answer: 29 kJ/mol of atoms